Record 1
## Li2Nb2W2O13 (PBE+U)

Data for crystalline Li2Nb2W2O13 at its relaxed geometry.

Values from the calculation:
raw total energy = -140.6 eV per cell
SG = No. 44
density = 4.4 g cm⁻³

a b c (Å): 7.4733 7.4733 7.4733
angles (deg): 120.63 120.10 89.37
Closest atoms and distances in Å follow each position.
Fractional positions:
Li 0.0000 0.2349 0.2349  2 O 2.03-2.06
Li 0.0000 0.7651 0.7651  2 O 2.03-2.06
Nb 0.0512 0.8103 0.2409  4 O 1.89-2.04
Nb 0.5693 0.8103 0.7591  4 O 1.89-2.04
W 0.5613 0.3069 0.7455  6 O 1.88-2.02
W 0.5613 0.8158 0.2545  6 O 1.88-2.02
O 0.0591 0.5591 0.5000  2 Li 2.06, 1 O 2.20
O 0.2616 0.1452 0.5005  1 W 1.88
O 0.2616 0.7611 0.1164  1 W 1.88
O 0.2657 0.7657 0.5000  2 Nb 1.99, 1 O 2.20
O 0.5167 0.5167 0.0000  2 W 1.94
O 0.5211 0.5103 0.6364  1 Nb 1.89, 1 W 2.02
O 0.5211 0.8847 0.0108  1 Nb 1.89, 1 W 2.02
O 0.6251 0.1251 0.5000  2 W 1.94
O 0.6447 0.1452 0.8836  1 W 1.88
O 0.6447 0.7611 0.4995  1 W 1.88
O 0.8739 0.5103 0.9892  1 Nb 1.89, 1 W 2.02
O 0.8739 0.8847 0.3636  1 Nb 1.89, 1 W 2.02
O 0.9008 0.9008 0.0000  2 Li 2.03, 2 Nb 2.04


Record 2
## LiNbWO6 (PBE+U)

Data for crystalline LiNbWO6 at its relaxed geometry.

Values from the calculation:
distance to the lowest polymorph of the same formula = 86.6 meV/atom
SG = No. 74
density = 4.4 g cm⁻³

a b c (Å): 7.3983 7.3983 7.3983
angles (deg): 120.27 119.72 90.01
Closest atoms and distances in Å follow each position.
Fractional positions:
Li 0.0000 0.0000 0.0000  6 O 2.61-2.67
Li 0.5000 0.0000 0.5000  6 O 2.61-2.67
Nb 0.5000 0.0000 0.0000  6 O 2.00
Nb 0.5000 0.5000 0.5000  6 O 2.00
W 0.0000 0.5000 0.5000  6 O 1.93-1.95
W 0.5000 0.5000 0.0000  6 O 1.93-1.95
O 0.1818 0.4337 0.3724  1 W 1.93, 1 Nb 2.00
O 0.1818 0.8093 0.7481  1 W 1.93, 1 Nb 2.00
O 0.1939 0.4439 0.7500  2 W 1.95
O 0.4249 0.1749 0.2500  2 Nb 2.00
O 0.4388 0.1907 0.8724  1 W 1.93, 1 Nb 2.00
O 0.4388 0.5663 0.2481  1 W 1.93, 1 Nb 2.00
O 0.5612 0.4337 0.7519  1 W 1.93, 1 Nb 2.00
O 0.5612 0.8093 0.1276  1 W 1.93, 1 Nb 2.00
O 0.5751 0.8251 0.7500  2 Nb 2.00
O 0.8061 0.5561 0.2500  2 W 1.95
O 0.8182 0.1907 0.2519  1 W 1.93, 1 Nb 2.00
O 0.8182 0.5663 0.6276  1 W 1.93, 1 Nb 2.00


Record 3
## LiNbWO6 (PBE+U)

Data for crystalline LiNbWO6 at its relaxed geometry.

Values from the calculation:
distance to the lowest polymorph of the same formula = 77.4 meV/atom
SG = No. 163
density = 5.5 g cm⁻³

a b c (Å): 5.2596 5.2596 9.5504
angles (deg): 90.00 90.00 120.00
Closest atoms and distances in Å follow each position.
Fractional positions:
Li 0.0000 0.0000 0.0000  6 O 2.33
Li 0.0000 0.0000 0.5000  6 O 2.33
Nb 0.3333 0.6667 0.2500  6 O 2.02
Nb 0.6667 0.3333 0.7500  6 O 2.02
W 0.3333 0.6667 0.7500  6 O 1.96
W 0.6667 0.3333 0.2500  6 O 1.96
O 0.0092 0.3712 0.6377  1 W 1.96, 1 Nb 2.02
O 0.0092 0.6380 0.8623  1 W 1.96, 1 Nb 2.02
O 0.3620 0.3712 0.8623  1 W 1.96, 1 Nb 2.02
O 0.3620 0.9908 0.6377  1 W 1.96, 1 Nb 2.02
O 0.3712 0.0092 0.1377  1 W 1.96, 1 Nb 2.02
O 0.3712 0.3620 0.3623  1 W 1.96, 1 Nb 2.02
O 0.6288 0.6380 0.6377  1 W 1.96, 1 Nb 2.02
O 0.6288 0.9908 0.8623  1 W 1.96, 1 Nb 2.02
O 0.6380 0.0092 0.3623  1 W 1.96, 1 Nb 2.02
O 0.6380 0.6288 0.1377  1 W 1.96, 1 Nb 2.02
O 0.9908 0.3620 0.1377  1 W 1.96, 1 Nb 2.02
O 0.9908 0.6288 0.3623  1 W 1.96, 1 Nb 2.02


Record 4
## LiNbWO6 (PBE+U)

Data for crystalline LiNbWO6 at its relaxed geometry.

Values from the calculation:
distance to the lowest polymorph of the same formula = 12.1 meV/atom
SG = No. 113
density = 5.9 g cm⁻³

a b c (Å): 4.7745 4.7745 9.4303
angles (deg): 90.00 90.00 90.00
Closest atoms and distances in Å follow each position.
Fractional positions:
Li 0.0000 0.5000 0.0745  4 O 2.05-2.20
Li 0.5000 0.0000 0.9255  4 O 2.05-2.20
Nb 0.0000 0.5000 0.4080  6 O 1.92-2.09
Nb 0.5000 0.0000 0.5920  6 O 1.92-2.09
W 0.0000 0.5000 0.7664  4 O 1.79-1.98
W 0.5000 0.0000 0.2336  4 O 1.79-1.98
O 0.1949 0.6949 0.5805  2 Nb 2.06-2.09, 1 W 2.19
O 0.2000 0.7000 0.8910  1 W 1.79
O 0.2125 0.7125 0.2729  1 Nb 1.92, 1 W 1.98
O 0.2875 0.2125 0.7271  1 Nb 1.92, 1 W 1.98
O 0.3000 0.2000 0.1090  1 W 1.79
O 0.3051 0.1949 0.4195  2 Nb 2.06-2.09, 1 W 2.19
O 0.6949 0.8051 0.4195  2 Nb 2.06-2.09, 1 W 2.19
O 0.7000 0.8000 0.1090  1 W 1.79
O 0.7125 0.7875 0.7271  1 Nb 1.92, 1 W 1.98
O 0.7875 0.2875 0.2729  1 Nb 1.92, 1 W 1.98
O 0.8000 0.3000 0.8910  1 W 1.79
O 0.8051 0.3051 0.5805  2 Nb 2.06-2.09, 1 W 2.19


Record 5
## LiNbWO6 (PBE+U)

Data for crystalline LiNbWO6 at its relaxed geometry.

Values from the calculation:
distance to the lowest polymorph of the same formula = 0.0 meV/atom
SG = No. 146
density = 5.7 g cm⁻³

a b c (Å): 5.5169 5.5169 5.5169
angles (deg): 57.05 57.05 57.05
Closest atoms and distances in Å follow each position.
Fractional positions:
Li 0.0000 0.0000 0.0000  6 O 2.11-2.26
Nb 0.2819 0.2819 0.2819  3 O 1.90
W 0.7824 0.7824 0.7824  6 O 1.88-2.03
O 0.0392 0.6687 0.4316  1 W 1.88
O 0.1236 0.5598 0.9553  1 Nb 1.90, 1 W 2.03
O 0.4316 0.0392 0.6687  1 W 1.88
O 0.5598 0.9553 0.1236  1 Nb 1.90, 1 W 2.03
O 0.6687 0.4316 0.0392  1 W 1.88
O 0.9553 0.1236 0.5598  1 Nb 1.90, 1 W 2.03


Record 6
## LiNbWO7 (PBE+U)

Data for crystalline LiNbWO7 at its relaxed geometry.

Values from the calculation:
raw total energy = -143.0 eV per cell
SG = No. 74
density = 4.5 g cm⁻³

a b c (Å): 7.4487 7.4487 7.4487
angles (deg): 119.95 118.94 90.97
Closest atoms and distances in Å follow each position.
Fractional positions:
Li 0.5000 0.0000 0.0000  2 O 1.89
Li 0.5000 0.5000 0.5000  2 O 1.89
Nb 0.0000 0.0000 0.0000  6 O 1.99-2.03
Nb 0.5000 0.0000 0.5000  6 O 1.99-2.03
W 0.0000 0.0000 0.5000  6 O 1.94-1.95
W 0.0000 0.5000 0.0000  6 O 1.94-1.95
O 0.0561 0.3061 0.7500  2 W 1.95
O 0.0586 0.3134 0.1174  1 W 1.94, 1 Nb 1.99
O 0.0586 0.9411 0.7452  1 W 1.94, 1 Nb 1.99
O 0.3040 0.0589 0.6174  1 W 1.94, 1 Nb 1.99
O 0.3040 0.6866 0.2452  1 W 1.94, 1 Nb 1.99
O 0.3205 0.0705 0.2500  2 Nb 2.03, 1 O 2.19
O 0.4701 0.7201 0.7500  2 Li 1.89
O 0.5299 0.2799 0.2500  2 Li 1.89
O 0.6795 0.9295 0.7500  2 Nb 2.03, 1 O 2.19
O 0.6960 0.3134 0.7548  1 W 1.94, 1 Nb 1.99
O 0.6960 0.9411 0.3826  1 W 1.94, 1 Nb 1.99
O 0.9414 0.0589 0.2548  1 W 1.94, 1 Nb 1.99
O 0.9414 0.6866 0.8826  1 W 1.94, 1 Nb 1.99
O 0.9439 0.6939 0.2500  2 W 1.95